1.
Here is an optimized crystal structure of K2SiRu from Alexandria via LeMat-Bulk. Energies are from PBE.

Computed properties:
space-group type = R3m, No. 160
uncorrected energy = -4.139 eV/atom

Geometry as POSCAR:
```
K2SiRu
1.0
2.0134 1.1624 9.6061
-2.0134 1.1624 9.6061
0.0000 -2.3248 9.6061
K Si Ru
2 1 1
direct
0.0000 0.0000 0.0000 K
0.1798 0.1798 0.1798 K
0.4233 0.4233 0.4233 Si
0.7566 0.7566 0.7566 Ru
```



2.
Here is an optimized crystal structure of BaZr2Rh from Alexandria via LeMat-Bulk. Energies are from PBE.

Computed properties:
space-group type = C2/m, No. 12
ΔE_f = 64 meV per atom
relative energy among the computed polymorphs = 0.1589 eV per atom

Geometry as POSCAR:
```
BaZr2Rh
1.0
5.6309 -1.7115 0.0000
5.6309 1.7115 0.0000
-2.0743 0.0000 5.5580
Ba Zr Rh
1 2 1
direct
0.0000 0.0000 0.0000 Ba
0.1941 0.1941 0.6562 Zr
0.8059 0.8059 0.3438 Zr
0.5000 0.5000 0.5000 Rh
```